1.
## Sm2YScSe4 (PBE)

Data for a relaxed structure of Sm2YScSe4.

POSCAR file:
```
Sm2YScSe4
1.0
-0.407 3.925 0.822
-4.359 -1.560 5.289
6.719 0.173 2.504
Se Y Sm Sc
4 1 2 1
direct
0.500 0.236 0.231
0.500 0.764 0.769
0.000 0.247 0.764
0.000 0.753 0.236
0.500 0.500 0.000
0.500 0.000 0.500
0.000 0.500 0.500
0.000 0.000 0.000
```

Values from the calculation:
- Calculated volume: 192.3 Å³/f.u.
- E_tot: -50.1 eV per cell

***

2.
## Li4CrW3N8 (PBE)

Data for a relaxed structure of Li4CrW3N8.

POSCAR file:
```
Li4CrW3N8
1.0
-1.783 -0.189 5.673
0.126 -6.158 -0.166
4.914 3.013 -1.475
W Li Cr N
3 4 1 8
direct
0.000 0.500 0.500
0.500 0.500 0.500
0.500 0.500 0.000
0.500 0.000 0.500
0.000 0.000 0.500
0.500 0.000 0.000
0.000 0.000 0.000
0.000 0.500 0.000
0.757 0.278 0.514
0.257 0.270 0.513
0.264 0.278 0.021
0.757 0.278 0.021
0.743 0.730 0.487
0.736 0.722 0.979
0.243 0.722 0.979
0.243 0.722 0.486
```

Values from the calculation:
- Calculated volume: 156.9 Å³/f.u.
- E_tot: -131.4 eV per cell

***

3.
## Pm2Cu2Ni3 (PBE)

Data for a relaxed structure of Pm2Cu2Ni3.

POSCAR file:
```
Pm2Cu2Ni3
1.0
-2.348 -1.160 3.196
5.232 -0.620 0.947
-1.867 6.072 0.831
Ni Pm Cu
3 2 2
direct
0.500 0.000 0.000
0.408 0.815 0.586
0.592 0.185 0.414
0.842 0.684 0.254
0.158 0.316 0.746
0.879 0.758 0.786
0.121 0.242 0.214
```

Values from the calculation:
- Calculated volume: 119.6 Å³/f.u.
- E_tot: -36.6 eV per cell
- ΔE_f: -0.225 eV per atom

***

4.
## Fe2SiW (PBE)

Data for a relaxed structure of Fe2SiW.

POSCAR file:
```
Fe2SiW
1.0
-2.228 3.322 -0.925
-1.485 0.069 3.827
2.206 1.709 0.825
Fe W Si
2 1 1
direct
0.000 0.000 0.000
0.500 0.500 0.000
0.000 0.500 0.500
0.500 0.000 0.500
```

Values from the calculation:
- Calculated volume: 49.1 Å³/f.u.
- E_tot: -35.6 eV per cell

***

5.
## Sr2TlZn3Au4 (PBE)

Data for a relaxed structure of Sr2TlZn3Au4.

POSCAR file:
```
Sr2TlZn3Au4
1.0
4.532 0.000 0.000
0.000 4.532 0.000
0.000 0.000 11.348
Zn Au Sr Tl
3 4 2 1
direct
0.500 0.000 0.881
0.000 0.500 0.119
0.000 0.000 0.500
0.000 0.000 0.000
0.500 0.500 0.000
0.500 0.000 0.656
0.000 0.500 0.344
0.500 0.000 0.237
0.000 0.500 0.763
0.500 0.500 0.500
```

Values from the calculation:
- Calculated volume: 233.0 Å³/f.u.
- E_tot: -27.3 eV per cell
- ΔE_f: -0.462 eV per atom

***

6.
## PaBr3O (PBE)

Data for a relaxed structure of PaBr3O.

POSCAR file:
```
PaBr3O
1.0
9.501 0.032 0.111
8.632 3.970 0.111
4.489 0.991 9.239
O Br Pa
2 6 2
direct
0.727 0.727 0.579
0.273 0.273 0.421
0.667 0.667 0.288
0.057 0.057 0.669
0.631 0.631 0.911
0.943 0.943 0.331
0.333 0.333 0.712
0.369 0.369 0.089
0.801 0.801 0.325
0.199 0.199 0.675
```

Values from the calculation:
- Calculated volume: 172.0 Å³/f.u.
- E_tot: -59.7 eV per cell
- Offset from the most stable computed form: 0.00 eV/f.u.

***

7.
## AsIrSCl2 (PBE)

Data for a relaxed structure of AsIrSCl2.

POSCAR file:
```
AsIrSCl2
1.0
4.760 0.000 0.000
0.000 4.760 0.000
0.000 0.000 4.635
S As Cl Ir
1 1 2 1
direct
0.000 0.000 0.500
0.500 0.500 0.500
0.500 0.000 0.000
0.000 0.500 0.000
0.000 0.000 0.000
```

Values from the calculation:
- Calculated volume: 105.0 Å³/f.u.
- E_tot: -18.8 eV per cell
- Offset from the most stable computed form: 0.00 eV/f.u.

***

8.
## Tm2BiPb (PBE)

Data for a relaxed structure of Tm2BiPb.

POSCAR file:
```
Tm2BiPb
1.0
-0.691 -1.315 3.958
-1.010 -4.038 0.740
7.193 -3.588 2.321
Tm Pb Bi
2 1 1
direct
0.080 0.080 0.761
0.253 0.253 0.240
0.499 0.499 0.503
0.668 0.668 0.996
```

Values from the calculation:
- Calculated volume: 123.9 Å³/f.u.
- E_tot: -18.3 eV per cell
- Offset from the most stable computed form: 0.55 eV/f.u.
- ΔE_f: -0.449 eV per atom

***

Among the records above, which one has the lowest E_tot? Li4CrW3N8

***

Number 1 is which compound? Sm2YScSe4